# 1
Entry from the Alexandria database: an optimized crystal structure of BaSr3F (PBE).

a b c (Å): 6.9168 6.9168 6.9168
angles (deg): 90.00 90.00 90.00
Last column: nearest neighbours and their distance in Å.
Fractional positions:
1 Ba 0.0000 0.0000 0.0000  6 Sr 3.46
2 Sr 0.0000 0.0000 0.5000  2 Ba 3.46
3 Sr 0.0000 0.5000 0.0000  2 Ba 3.46
4 Sr 0.5000 0.0000 0.0000  2 Ba 3.46
5 F 0.5000 0.5000 0.5000  12 Sr 4.89

Results
total moment	5.001	μB/f.u.
theoretical density	2.10	Mg/m³
total energy	-1.37	eV/atom
polymorph energy (0 for the lowest one)	1375	meV per atom
formation energy (no corrections)	0.40	eV per atom


# 2
Entry from the Alexandria database: an optimized crystal structure of NiAsRu2 (PBE).

a b c (Å): 3.7744 3.7744 7.5438
angles (deg): 90.00 90.00 90.00
Last column: nearest neighbours and their distance in Å.
Fractional positions:
1 Ni 0.0000 0.0000 0.0000  4 As 2.67, 8 Ru 2.67
2 Ni 0.5000 0.5000 0.5000  4 As 2.67, 8 Ru 2.67
3 As 0.0000 0.5000 0.2500  8 Ru 2.67, 4 Ni 2.67
4 As 0.5000 0.0000 0.7500  8 Ru 2.67, 4 Ni 2.67
5 Ru 0.0000 0.0000 0.5000  4 As 2.67, 4 Ru 2.67, 4 Ni 2.67
6 Ru 0.0000 0.5000 0.7500  4 Ni 2.67, 4 Ru 2.67, 4 As 2.67
7 Ru 0.5000 0.0000 0.2500  4 Ru 2.67, 4 Ni 2.67, 4 As 2.67
8 Ru 0.5000 0.5000 0.0000  4 As 2.67, 4 Ru 2.67, 4 Ni 2.67

Results
total moment	0.000	μB/f.u.
theoretical density	10.38	Mg/m³
energy relative to the elements	0.1242	eV per atom
total energy	-7.12	eV/atom


# 3
Entry from the Alexandria database: an optimized crystal structure of NaLiO2 (PBE).

a b c (Å): 2.8049 2.8049 20.1429
angles (deg): 90.00 90.00 120.00
Last column: nearest neighbours and their distance in Å.
Fractional positions:
1 Na 0.0000 0.0000 0.0000  2 O 2.07
2 Na 0.3333 0.6667 0.6667  2 O 2.07
3 Na 0.6667 0.3333 0.3333  2 O 2.07
4 Li 0.0000 0.0000 0.5000  6 O 2.07
5 Li 0.3333 0.6667 0.1667  6 O 2.07
6 Li 0.6667 0.3333 0.8333  6 O 2.07
7 O 0.0000 0.0000 0.1028  3 Li 2.07, 1 Na 2.07
8 O 0.0000 0.0000 0.8972  3 Li 2.07, 1 Na 2.07
9 O 0.3333 0.6667 0.5639  3 Li 2.07, 1 Na 2.07
10 O 0.3333 0.6667 0.7695  3 Li 2.07, 1 Na 2.07
11 O 0.6667 0.3333 0.2305  3 Li 2.07, 1 Na 2.07
12 O 0.6667 0.3333 0.4361  3 Li 2.07, 1 Na 2.07

Results
total moment	2.000	μB/f.u.
theoretical density	2.25	Mg/m³
total energy	-3.77	eV/atom
polymorph energy (0 for the lowest one)	658	meV per atom
formation energy (no corrections)	-0.48	eV per atom


Q: The lowest total moment belongs to which entry?
A: NiAsRu2


Q: Look up the theoretical density of the second one.
A: 10.38 Mg/m³


Q: total energy of number 1 (BaSr3F)?
A: -1.37 eV/atom